Zn2In2Ir | PBE | optimized geometry

abc: 7.042 7.042 7.042
angles: 147.74 147.74 46.27
Element x y z (fractional)
1 In 0.750 0.250 0.500
2 Ir 0.000 0.000 0.000
3 Zn 0.411 0.411 0.000
4 Zn 0.589 0.589 0.000
5 In 0.250 0.750 0.500

Total DFT energy (no corrections) ... -2.736 eV per atom
Excess energy over the best structure of this formula in the dataset ... 2.302 eV/f.u.
Space group ... I4/mmm, No. 139
ΔH_f (0 K) ... 0.641 eV per atom

PmHoGeRh | PBE | optimized geometry

abc: 4.139 4.176 5.703
angles: 90.00 111.28 90.00
Element x y z (fractional)
1 Ho 0.864 0.500 0.728
2 Rh 0.419 0.000 0.839
3 Pm 0.145 0.000 0.289
4 Ge 0.572 0.500 0.144

Total DFT energy (no corrections) ... -6.158 eV per atom
Excess energy over the best structure of this formula in the dataset ... 0.000 eV/f.u.
Space group ... Amm2, No. 38
ΔH_f (0 K) ... -0.834 eV per atom

CoPBr2 | PBE | optimized geometry

abc: 3.087 3.087 11.242
angles: 90.00 90.00 90.00
Last column: magnetic moment on the atom in μB.
Element x y z (fractional)
1 Br 0.000 0.000 0.106  0.27
2 Co 0.500 0.500 0.250  2.26
3 P 0.500 0.500 0.750  0.23
4 Br 0.000 0.000 0.394  0.27

Total DFT energy (no corrections) ... -3.210 eV per atom
Excess energy over the best structure of this formula in the dataset ... 4.347 eV/f.u.
ΔE_f (raw) ... 3.02 eV per formula unit
Space group ... P4/mmm, No. 123

Cr2CoBr | PBE | optimized geometry

abc: 4.339 4.339 6.708
angles: 61.58 61.58 39.71
Last column: magnetic moment on the atom in μB.
Element x y z (fractional)
1 Cr 0.018 0.018 0.119  -0.01
2 Cr 0.482 0.482 0.381  -0.01
3 Br 0.750 0.750 0.750  0.00
4 Co 0.250 0.250 0.250  0.98

Total DFT energy (no corrections) ... -6.358 eV per atom
Excess energy over the best structure of this formula in the dataset ... 0.790 eV/f.u.
ΔE_f (raw) ... 2.59 eV per formula unit
Space group ... C2/m, No. 12

Os2AuSe | PBE | optimized geometry

abc: 2.852 2.852 8.492
angles: 90.00 90.00 90.00
Element x y z (fractional)
1 Se 0.000 0.000 0.451
2 Os 0.000 0.000 0.033
3 Os 0.500 0.500 0.230
4 Au 0.500 0.500 0.787

Total DFT energy (no corrections) ... -6.877 eV per atom
ΔE_f (raw) ... 1.71 eV per formula unit
Space group ... P4mm, No. 99

SmPPt4 | PBE | optimized geometry

abc: 4.005 6.780 7.938
angles: 90.00 104.61 90.00
Element x y z (fractional)
1 P 0.760 0.250 0.520
2 Pt 0.085 0.750 0.169
3 Pt 0.684 0.958 0.368
4 Pt 0.500 0.000 0.000
5 Pt 0.500 0.500 0.000
6 Pt 0.684 0.542 0.368
7 P 0.240 0.750 0.480
8 Pt 0.915 0.250 0.831
9 Pt 0.316 0.458 0.632
10 Sm 0.897 0.750 0.793
11 Sm 0.103 0.250 0.207
12 Pt 0.316 0.042 0.632

Total DFT energy (no corrections) ... -6.496 eV per atom
Space group ... Cmcm, No. 63
ΔH_f (0 K) ... -0.781 eV per atom

LuH3 | PBE | optimized geometry

abc: 3.326 3.326 3.661
angles: 117.02 117.02 90.00
Element x y z (fractional)
1 Lu 0.000 0.000 0.000
2 H 0.750 0.250 0.500
3 H 0.500 0.500 0.000
4 H 0.250 0.750 0.500

Total DFT energy (no corrections) ... -4.174 eV per atom
Space group ... I4/mmm, No. 139

ZrIn2Mo | PBE | optimized geometry

abc: 4.840 4.840 4.840
angles: 60.00 60.00 60.00
Last column: magnetic moment on the atom in μB.
Element x y z (fractional)
1 Zr 0.000 0.000 0.000  -0.08
2 In 0.250 0.250 0.250  0.01
3 In 0.750 0.750 0.750  0.01
4 Mo 0.500 0.500 0.500  0.77

Total DFT energy (no corrections) ... -6.027 eV per atom
Excess energy over the best structure of this formula in the dataset ... 0.604 eV/f.u.
Space group ... Fm-3m, No. 225
ΔH_f (0 K) ... 0.187 eV per atom

Number 1: total magnetization 0.01 μB/f.u.. Number 2: total magnetization 0.00 μB/f.u.. Number 3: total magnetization 3.45 μB/f.u.. Number 4: total magnetization 0.90 μB/f.u.. Number 5: total magnetization 0.00 μB/f.u.. Number 6: total magnetization 0.00 μB/f.u.. Number 7: total magnetization 0.00 μB/f.u.. Number 8: total magnetization 0.84 μB/f.u..